Entry 1:
## MgFe2Re (PBE-GGA)

Data for a geometry-optimized MgFe2Re structure.

Cell lengths 4.2472, 4.2472, 2.8449 Å; angles 90.00, 90.00, 90.00 degrees
Last column: magnetic moment on the atom in μB.
Sites, in units of the cell vectors:
Re 0.0000 0.5000 0.5000  0.00
Fe 0.5000 0.5000 0.0000  0.20
Fe 0.0000 0.0000 0.0000  0.20
Mg 0.5000 0.0000 0.5000  -0.01

The formation energy is 275 meV per atom. The calculation puts the distance to the lowest polymorph of the same formula at 0.078 eV/atom. The magnetic moment comes out at 0.36 μB per formula unit. For the density of states at the Fermi level, the calculation gives 3.68 states/eV/cell.

***

Entry 2:
## MgFeRe2 (PBE-GGA)

Data for a geometry-optimized MgFeRe2 structure.

Cell lengths 5.2500, 5.2500, 4.4065 Å; angles 65.21, 65.21, 32.51 degrees
Last column: magnetic moment on the atom in μB.
Sites, in units of the cell vectors:
Mg 0.2500 0.2500 0.2500  -0.02
Re 0.0201 0.0201 0.9799  0.02
Fe 0.7500 0.7500 0.7500  2.02
Re 0.4799 0.4799 0.5201  0.02

The formation energy is 206 meV per atom. The calculation puts the distance to the lowest polymorph of the same formula at 0.000 eV/atom. The magnetic moment comes out at 2.00 μB per formula unit. For the density of states at the Fermi level, the calculation gives 3.79 states/eV/cell.

***

Entry 3:
## MgFeRe2 (PBE-GGA)

Data for a geometry-optimized MgFeRe2 structure.

Cell lengths 5.1637, 5.1637, 2.6271 Å; angles 80.81, 80.81, 118.40 degrees
Last column: magnetic moment on the atom in μB.
Sites, in units of the cell vectors:
Re 0.5000 0.5000 0.0000  0.05
Mg 0.0000 0.5000 0.5000  -0.01
Re 0.0000 0.0000 0.0000  0.05
Fe 0.5000 0.0000 0.5000  2.42

The formation energy is 285 meV per atom. The calculation puts the distance to the lowest polymorph of the same formula at 0.079 eV/atom. The magnetic moment comes out at 2.48 μB per formula unit. For the density of states at the Fermi level, the calculation gives 3.64 states/eV/cell.

***

Entry 4:
## MgFe2Re (PBE-GGA)

Data for a geometry-optimized MgFe2Re structure.

Cell lengths 4.1365, 2.6043, 5.2894 Å; angles 77.53, 90.00, 90.00 degrees
Last column: magnetic moment on the atom in μB.
Sites, in units of the cell vectors:
Fe 0.0000 0.5028 0.5200  2.25
Fe 0.0000 0.9972 0.9800  2.25
Mg 0.5000 0.2500 0.2500  -0.02
Re 0.5000 0.7500 0.7500  -0.04

The formation energy is 252 meV per atom. The calculation puts the distance to the lowest polymorph of the same formula at 0.055 eV/atom. The magnetic moment comes out at 4.36 μB per formula unit. For the density of states at the Fermi level, the calculation gives 3.59 states/eV/cell.

***

Entry 5:
## MgFe4Re (PBE-GGA)

Data for a geometry-optimized MgFe4Re structure.

Cell lengths 4.7431, 4.7431, 4.7431 Å; angles 60.00, 60.00, 60.00 degrees
Last column: magnetic moment on the atom in μB.
Sites, in units of the cell vectors:
Fe 0.3743 0.3743 0.3743  1.76
Mg 0.7500 0.7500 0.7500  -0.02
Fe 0.3743 0.3743 0.8772  1.76
Fe 0.3743 0.8772 0.3743  1.76
Fe 0.8772 0.3743 0.3743  1.76
Re 0.0000 0.0000 0.0000  -0.35

The formation energy is 122 meV per atom. The magnetic moment comes out at 6.61 μB per formula unit. For the density of states at the Fermi level, the calculation gives 6.28 states/eV/cell.

***

Entry 6:
## Mg4FeRe (PBE-GGA)

Data for a geometry-optimized Mg4FeRe structure.

Cell lengths 5.3025, 5.3025, 5.3025 Å; angles 60.00, 60.00, 60.00 degrees
Last column: magnetic moment on the atom in μB.
Sites, in units of the cell vectors:
Mg 0.3755 0.3755 0.8735  -0.01
Mg 0.3755 0.8735 0.3755  -0.01
Re 0.7500 0.7500 0.7500  0.84
Mg 0.8735 0.3755 0.3755  -0.01
Fe 0.0000 0.0000 0.0000  2.97
Mg 0.3755 0.3755 0.3755  -0.01

The formation energy is 761 meV per atom. The magnetic moment comes out at 3.65 μB per formula unit. For the density of states at the Fermi level, the calculation gives 4.01 states/eV/cell.

***

Entry 7:
## MgFeRe2 (PBE-GGA)

Data for a geometry-optimized MgFeRe2 structure.

Cell lengths 5.0036, 5.0036, 2.6173 Å; angles 90.00, 90.00, 116.63 degrees
Last column: magnetic moment on the atom in μB.
Sites, in units of the cell vectors:
Re 0.5000 0.5000 0.0000  -0.06
Fe 0.5000 0.0000 0.5000  2.31
Re 0.0000 0.0000 0.0000  -0.06
Mg 0.0000 0.5000 0.5000  -0.01

The formation energy is 377 meV per atom. The calculation puts the distance to the lowest polymorph of the same formula at 0.171 eV/atom. The magnetic moment comes out at 2.16 μB per formula unit. For the density of states at the Fermi level, the calculation gives 3.55 states/eV/cell.

***

Entry 8:
## MgFe2Re (PBE-GGA)

Data for a geometry-optimized MgFe2Re structure.

Cell lengths 4.8269, 4.8269, 4.8269 Å; angles 142.72, 126.68, 66.85 degrees
Last column: magnetic moment on the atom in μB.
Sites, in units of the cell vectors:
Fe 0.9882 0.9882 0.0000  1.61
Mg 0.2500 0.7500 0.5000  -0.01
Re 0.7500 0.2500 0.5000  -0.29
Fe 0.5118 0.5118 0.0000  1.61

The formation energy is 365 meV per atom. The calculation puts the distance to the lowest polymorph of the same formula at 0.168 eV/atom. The magnetic moment comes out at 2.79 μB per formula unit. For the density of states at the Fermi level, the calculation gives 3.84 states/eV/cell.

***

Entry 9:
## MgFe2Re (PBE-GGA)

Data for a geometry-optimized MgFe2Re structure.

Cell lengths 2.6359, 2.6359, 8.4691 Å; angles 90.00, 90.00, 107.68 degrees
Last column: magnetic moment on the atom in μB.
Sites, in units of the cell vectors:
Fe 0.0000 0.0000 0.0102  2.38
Mg 0.0000 0.0000 0.4909  -0.03
Fe 0.5000 0.5000 0.2300  2.45
Re 0.5000 0.5000 0.7689  -0.10

The formation energy is 216 meV per atom. The calculation puts the distance to the lowest polymorph of the same formula at 0.019 eV/atom. The magnetic moment comes out at 4.61 μB per formula unit. For the density of states at the Fermi level, the calculation gives 3.53 states/eV/cell.

***

Entry 10:
## MgFe2ReRh (PBE-GGA)

Data for a geometry-optimized MgFe2ReRh structure.

Cell lengths 4.3990, 4.8999, 4.3990 Å; angles 90.00, 90.00, 90.00 degrees
Last column: magnetic moment on the atom in μB.
Sites, in units of the cell vectors:
Fe 0.0000 0.0000 0.5000  1.95
Rh 0.5000 0.5000 0.5000  0.43
Re 0.0000 0.0000 0.0000  -0.09
Mg 0.0000 0.5000 0.0000  0.00
Fe 0.5000 0.0000 0.0000  1.76

The formation energy is 1432 meV per atom. The magnetic moment comes out at 4.14 μB per formula unit. For the density of states at the Fermi level, the calculation gives 5.78 states/eV/cell.

***

Entry 11:
## MgFe2ReS (PBE-GGA)

Data for a geometry-optimized MgFe2ReS structure.

Cell lengths 4.1571, 4.3982, 4.1571 Å; angles 90.00, 90.00, 90.00 degrees
Last column: magnetic moment on the atom in μB.
Sites, in units of the cell vectors:
S 0.0000 0.0000 0.0000  -0.02
Fe 0.5000 0.0000 0.0000  1.98
Mg 0.5000 0.5000 0.5000  -0.01
Re 0.0000 0.5000 0.0000  -0.06
Fe 0.0000 0.0000 0.5000  1.75

The magnetic moment comes out at 3.48 μB per formula unit. The uncorrected formation energy is 316 meV per atom. For the density of states at the Fermi level, the calculation gives 3.73 states/eV/cell.

***

Entry 12:
## MgFe2ReSn (PBE-GGA)

Data for a geometry-optimized MgFe2ReSn structure.

Cell lengths 4.6914, 5.0923, 4.6914 Å; angles 90.00, 90.00, 90.00 degrees
Last column: magnetic moment on the atom in μB.
Sites, in units of the cell vectors:
Re 0.0000 0.0000 0.0000  -0.20
Fe 0.5000 0.0000 0.0000  2.51
Fe 0.0000 0.0000 0.5000  2.77
Sn 0.0000 0.5000 0.0000  0.09
Mg 0.5000 0.5000 0.5000  -0.04

The formation energy is 1095 meV per atom. The magnetic moment comes out at 5.18 μB per formula unit. For the density of states at the Fermi level, the calculation gives 7.85 states/eV/cell.

***

Entry 13:
## MgFe2ReTe (PBE-GGA)

Data for a geometry-optimized MgFe2ReTe structure.

Cell lengths 4.6480, 4.9386, 4.6480 Å; angles 90.00, 90.00, 90.00 degrees
Last column: magnetic moment on the atom in μB.
Sites, in units of the cell vectors:
Fe 0.5000 0.0000 0.0000  2.43
Te 0.0000 0.0000 0.0000  -0.06
Mg 0.5000 0.5000 0.5000  -0.01
Re 0.0000 0.5000 0.0000  -0.41
Fe 0.0000 0.0000 0.5000  2.27

The magnetic moment comes out at 4.00 μB per formula unit. The uncorrected formation energy is 1376 meV per atom. For the density of states at the Fermi level, the calculation gives 3.14 states/eV/cell.

***

Entry 14:
## MgTiFe2Re (PBE-GGA)

Data for a geometry-optimized MgTiFe2Re structure.

Cell lengths 4.1346, 4.4423, 4.1346 Å; angles 90.00, 90.00, 90.00 degrees
Sites, in units of the cell vectors:
Mg 0.0000 0.0000 0.0000
Fe 0.0000 0.0000 0.5000
Fe 0.5000 0.0000 0.0000
Ti 0.0000 0.5000 0.0000
Re 0.5000 0.5000 0.5000

The formation energy is 1859 meV per atom. The magnetic moment comes out at 0.02 μB per formula unit. For the density of states at the Fermi level, the calculation gives 10.01 states/eV/cell.

***

Entry 15:
## Mg2VFeRe (PBE-GGA)

Data for a geometry-optimized Mg2VFeRe structure.

Cell lengths 4.8150, 3.9557, 4.8150 Å; angles 90.00, 90.00, 90.00 degrees
Last column: magnetic moment on the atom in μB.
Sites, in units of the cell vectors:
Re 0.5000 0.5000 0.5000  1.65
Mg 0.5000 0.0000 0.0000  0.01
Mg 0.0000 0.0000 0.5000  0.01
Fe 0.0000 0.5000 0.0000  -1.12
V 0.0000 0.0000 0.0000  1.30

The formation energy is 1621 meV per atom. The magnetic moment comes out at 2.18 μB per formula unit. For the density of states at the Fermi level, the calculation gives 5.47 states/eV/cell.

***

Entry 16:
## MgFeReW (PBE-GGA)

Data for a geometry-optimized MgFeReW structure.

Cell lengths 4.3494, 4.3494, 4.3494 Å; angles 60.00, 60.00, 60.00 degrees
Last column: magnetic moment on the atom in μB.
Sites, in units of the cell vectors:
Mg 0.0000 0.0000 0.0000  -0.01
Re 0.2500 0.2500 0.2500  0.15
Fe 0.7500 0.7500 0.7500  0.96
W 0.5000 0.5000 0.5000  -0.18

The formation energy is 212 meV per atom. The magnetic moment comes out at 0.88 μB per formula unit. For the density of states at the Fermi level, the calculation gives 3.69 states/eV/cell.

***

Entry 17:
## Mg2FeRh3 (PBE-GGA)

Data for a geometry-optimized Mg2FeRh3 structure.

Cell lengths 3.0792, 3.0792, 9.2373 Å; angles 90.00, 90.00, 90.00 degrees
Last column: magnetic moment on the atom in μB.
Sites, in units of the cell vectors:
Mg 0.5000 0.5000 0.8321  -0.01
Fe 0.5000 0.5000 0.5000  3.22
Rh 0.0000 0.0000 0.3455  0.54
Mg 0.5000 0.5000 0.1679  -0.01
Rh 0.0000 0.0000 0.0000  0.07
Rh 0.0000 0.0000 0.6545  0.54

The formation energy is -358 meV per atom. The magnetic moment comes out at 4.31 μB per formula unit. For the density of states at the Fermi level, the calculation gives 3.87 states/eV/cell.

***

Entry 18:
## MgFeRh (PBE-GGA)

Data for a geometry-optimized MgFeRh structure.

Cell lengths 5.1455, 5.1459, 3.0894 Å; angles 72.52, 72.54, 34.94 degrees
Last column: magnetic moment on the atom in μB.
Sites, in units of the cell vectors:
Fe 0.0148 0.0148 0.9852  2.85
Rh 0.6535 0.6535 0.3465  0.61
Mg 0.3317 0.3317 0.6683  -0.03

The formation energy is -131 meV per atom. The calculation puts the distance to the lowest polymorph of the same formula at 0.000 eV/atom. The magnetic moment comes out at 3.34 μB per formula unit. For the density of states at the Fermi level, the calculation gives 2.46 states/eV/cell.

***

Entry 19:
## MgFe2Rh (PBE-GGA)

Data for a geometry-optimized MgFe2Rh structure.

Cell lengths 3.0425, 4.1403, 4.3525 Å; angles 90.00, 90.00, 90.00 degrees
Last column: magnetic moment on the atom in μB.
Sites, in units of the cell vectors:
Fe 0.0000 0.0000 0.0000  2.60
Fe 0.5000 0.5000 0.0000  2.82
Mg 0.5000 0.0000 0.5000  -0.03
Rh 0.0000 0.5000 0.5000  0.41

The formation energy is -24 meV per atom. The magnetic moment comes out at 5.67 μB per formula unit. For the density of states at the Fermi level, the calculation gives 3.69 states/eV/cell.

***

Entry 20:
## MgFe2Rh (PBE-GGA)

Data for a geometry-optimized MgFe2Rh structure.

Cell lengths 4.3122, 2.6817, 4.8971 Å; angles 78.92, 90.00, 90.00 degrees
Last column: magnetic moment on the atom in μB.
Sites, in units of the cell vectors:
Fe 0.0000 0.5024 0.5107  2.69
Rh 0.5000 0.7500 0.7500  0.57
Fe 0.0000 0.9976 0.9893  2.69
Mg 0.5000 0.2500 0.2500  -0.04

The formation energy is 56 meV per atom. The magnetic moment comes out at 5.76 μB per formula unit. For the density of states at the Fermi level, the calculation gives 3.43 states/eV/cell.